Material: Dy12ZnIn6
Method: DFT, PBE
State: relaxed

```
Dy12ZnIn6
1.0
6.728 3.884 4.079
-6.728 3.884 4.079
0.000 -7.769 4.079
Dy Zn In
12 1 6
Direct
0.040 0.682 0.942 Dy
0.058 0.960 0.318 Dy
0.182 0.428 0.565 Dy
0.318 0.058 0.960 Dy
0.428 0.565 0.182 Dy
0.435 0.818 0.572 Dy
0.565 0.182 0.428 Dy
0.572 0.435 0.818 Dy
0.682 0.942 0.040 Dy
0.818 0.572 0.435 Dy
0.942 0.040 0.682 Dy
0.960 0.318 0.058 Dy
0.000 0.000 0.000 Zn
0.134 0.624 0.304 In
0.304 0.134 0.624 In
0.376 0.696 0.866 In
0.624 0.304 0.134 In
0.696 0.866 0.376 In
0.866 0.376 0.696 In
```

Computed properties:
Magnetization = 0.000 μB/cell
Crystal system = trigonal
Energy of formation from the pure elements = 0.02 eV/f.u.
Space group = R-3 (148)
V = 639.67 Å³/cell
Total DFT energy (no corrections) = -3.84 eV/atom